A relaxed structure of Co2SiSb. Source: the Alexandria database, functional PBE.

Computed properties:
Its excess energy over the best structure of this formula in the dataset is 0.62 eV/f.u.

Geometry as CIF:
```
data_Co2SiSb
_space_group_name_H-M_alt 'P m m 2'
_space_group_IT_number 25
_space_group_name_Hall 'P 2 -2'
_cell_length_a 3.0000
_cell_length_b 4.5598
_cell_length_c 4.1038
_cell_angle_alpha 90.00
_cell_angle_beta 90.00
_cell_angle_gamma 90.00
loop_
_atom_site_label
_atom_site_type_symbol
_atom_site_fract_x
_atom_site_fract_y
_atom_site_fract_z
_atom_site_occupancy
Co1 Co 0.0000 0.0000 0.0000 1
Co2 Co 0.5000 0.5000 0.2533 1
Si1 Si 0.5000 0.0000 0.4632 1
Sb1 Sb 0.0000 0.5000 0.7430 1
```



A relaxed structure of CoSiSb2. Source: the Alexandria database, functional PBE.

Geometry as CIF:
```
data_CoSiSb2
_space_group_name_H-M_alt 'R 3 m'
_space_group_IT_number 160
_space_group_name_Hall 'R 3 -2"'
_cell_length_a 3.3649
_cell_length_b 3.3649
_cell_length_c 24.5442
_cell_angle_alpha 90.00
_cell_angle_beta 90.00
_cell_angle_gamma 120.00
loop_
_atom_site_label
_atom_site_type_symbol
_atom_site_fract_x
_atom_site_fract_y
_atom_site_fract_z
_atom_site_occupancy
Co1 Co 0.0000 0.0000 0.0000 1
Si1 Si 0.0000 0.0000 0.2847 1
Sb1 Sb 0.0000 0.0000 0.5186 1
Sb2 Sb 0.0000 0.0000 0.7373 1
```



A relaxed structure of CoSiSb4. Source: the Alexandria database, functional PBE.

Geometry as CIF:
```
data_CoSiSb4
_space_group_name_H-M_alt 'F -4 3 m'
_space_group_IT_number 216
_space_group_name_Hall 'F -4 2 3'
_cell_length_a 8.6273
_cell_length_b 8.6273
_cell_length_c 8.6273
_cell_angle_alpha 90.00
_cell_angle_beta 90.00
_cell_angle_gamma 90.00
loop_
_atom_site_label
_atom_site_type_symbol
_atom_site_fract_x
_atom_site_fract_y
_atom_site_fract_z
_atom_site_occupancy
Co1 Co 0.0000 0.0000 0.0000 1
Si1 Si 0.2500 0.2500 0.2500 1
Sb1 Sb 0.1249 0.1249 0.6249 1
```



A relaxed structure of CoSiSb2. Source: the Alexandria database, functional PBE.

Geometry as CIF:
```
data_CoSiSb2
_space_group_name_H-M_alt 'P m m 2'
_space_group_IT_number 25
_space_group_name_Hall 'P 2 -2'
_cell_length_a 3.1807
_cell_length_b 3.1981
_cell_length_c 7.7882
_cell_angle_alpha 90.00
_cell_angle_beta 90.00
_cell_angle_gamma 90.00
loop_
_atom_site_label
_atom_site_type_symbol
_atom_site_fract_x
_atom_site_fract_y
_atom_site_fract_z
_atom_site_occupancy
Co1 Co 0.0000 0.0000 0.0000 1
Si1 Si 0.5000 0.5000 0.8899 1
Sb1 Sb 0.0000 0.0000 0.6517 1
Sb2 Sb 0.5000 0.5000 0.2409 1
```



A relaxed structure of CoSiSb. Source: the Alexandria database, functional PBE.

Geometry as CIF:
```
data_CoSiSb
_space_group_name_H-M_alt 'P 3 m 1'
_space_group_IT_number 156
_space_group_name_Hall 'P 3 -2"'
_cell_length_a 3.7158
_cell_length_b 3.7158
_cell_length_c 4.5573
_cell_angle_alpha 90.00
_cell_angle_beta 90.00
_cell_angle_gamma 120.00
loop_
_atom_site_label
_atom_site_type_symbol
_atom_site_fract_x
_atom_site_fract_y
_atom_site_fract_z
_atom_site_occupancy
Co1 Co 0.0000 0.0000 0.0000 1
Si1 Si 0.3333 0.6667 0.8498 1
Sb1 Sb 0.6667 0.3333 0.3338 1
```



A relaxed structure of Co2SiSb. Source: the Alexandria database, functional PBE.

Computed properties:
Its excess energy over the best structure of this formula in the dataset is 0.87 eV/f.u.

Geometry as CIF:
```
data_Co2SiSb
_space_group_name_H-M_alt 'F m -3 m'
_space_group_IT_number 225
_space_group_name_Hall '-F 4 2 3'
_cell_length_a 5.9920
_cell_length_b 5.9920
_cell_length_c 5.9920
_cell_angle_alpha 90.00
_cell_angle_beta 90.00
_cell_angle_gamma 90.00
loop_
_atom_site_label
_atom_site_type_symbol
_atom_site_fract_x
_atom_site_fract_y
_atom_site_fract_z
_atom_site_occupancy
Co1 Co 0.2500 0.2500 0.2500 1
Si1 Si 0.0000 0.0000 0.0000 1
Sb1 Sb 0.0000 0.0000 0.5000 1
```



A relaxed structure of CoSiSb2. Source: the Alexandria database, functional PBE.

Geometry as CIF:
```
data_CoSiSb2
_space_group_name_H-M_alt 'P 1 2/m 1'
_space_group_IT_number 10
_space_group_name_Hall '-P 2y'
_cell_length_a 3.1981
_cell_length_b 3.2094
_cell_length_c 7.3699
_cell_angle_alpha 90.00
_cell_angle_beta 90.09
_cell_angle_gamma 90.00
loop_
_atom_site_label
_atom_site_type_symbol
_atom_site_fract_x
_atom_site_fract_y
_atom_site_fract_z
_atom_site_occupancy
Co1 Co 0.0000 0.0000 0.0000 1
Si1 Si 0.0000 0.0000 0.5000 1
Sb1 Sb 0.4974 0.5000 0.7859 1
```



A relaxed structure of Co2SiSb. Source: the Alexandria database, functional PBE.

Computed properties:
Its excess energy over the best structure of this formula in the dataset is 1.19 eV/f.u.

Geometry as CIF:
```
data_Co2SiSb
_space_group_name_H-M_alt 'I -4 2 d'
_space_group_IT_number 122
_space_group_name_Hall 'I -4 2bw'
_cell_length_a 3.9985
_cell_length_b 3.9985
_cell_length_c 15.5535
_cell_angle_alpha 90.00
_cell_angle_beta 90.00
_cell_angle_gamma 90.00
loop_
_atom_site_label
_atom_site_type_symbol
_atom_site_fract_x
_atom_site_fract_y
_atom_site_fract_z
_atom_site_occupancy
Co1 Co 0.2075 0.2500 0.1250 1
Si1 Si 0.0000 0.0000 0.0000 1
Sb1 Sb 0.0000 0.0000 0.5000 1
```



A relaxed structure of Co2SiSb. Source: the Alexandria database, functional PBE.

Computed properties:
Its excess energy over the best structure of this formula in the dataset is 0.36 eV/f.u.

Geometry as CIF:
```
data_Co2SiSb
_space_group_name_H-M_alt 'P 4/m m m'
_space_group_IT_number 123
_space_group_name_Hall '-P 4 2'
_cell_length_a 2.9014
_cell_length_b 2.9014
_cell_length_c 6.5540
_cell_angle_alpha 90.00
_cell_angle_beta 90.00
_cell_angle_gamma 90.00
loop_
_atom_site_label
_atom_site_type_symbol
_atom_site_fract_x
_atom_site_fract_y
_atom_site_fract_z
_atom_site_occupancy
Co1 Co 0.0000 0.0000 0.1949 1
Si1 Si 0.5000 0.5000 0.0000 1
Sb1 Sb 0.5000 0.5000 0.5000 1
```



A relaxed structure of Co2Si2Sb. Source: the Alexandria database, functional PBE.

Computed properties:
Its excess energy over the best structure of this formula in the dataset is 0.00 eV/f.u.

Geometry as CIF:
```
data_Co2Si2Sb
_space_group_name_H-M_alt 'I 4/m m m'
_space_group_IT_number 139
_space_group_name_Hall '-I 4 2'
_cell_length_a 3.5522
_cell_length_b 3.5522
_cell_length_c 11.3327
_cell_angle_alpha 90.00
_cell_angle_beta 90.00
_cell_angle_gamma 90.00
loop_
_atom_site_label
_atom_site_type_symbol
_atom_site_fract_x
_atom_site_fract_y
_atom_site_fract_z
_atom_site_occupancy
Co1 Co 0.0000 0.0000 0.1219 1
Si1 Si 0.0000 0.5000 0.2500 1
Sb1 Sb 0.0000 0.0000 0.5000 1
```



A relaxed structure of CoSiSb2. Source: the Alexandria database, functional PBE.

Geometry as CIF:
```
data_CoSiSb2
_space_group_name_H-M_alt 'C 1 m 1'
_space_group_IT_number 8
_space_group_name_Hall 'C -2y'
_cell_length_a 7.3862
_cell_length_b 3.6602
_cell_length_c 6.3649
_cell_angle_alpha 90.00
_cell_angle_beta 105.26
_cell_angle_gamma 90.00
loop_
_atom_site_label
_atom_site_type_symbol
_atom_site_fract_x
_atom_site_fract_y
_atom_site_fract_z
_atom_site_occupancy
Co1 Co 0.0000 0.0000 0.0000 1
Si1 Si 0.2086 0.5000 0.0523 1
Sb1 Sb 0.0030 0.5000 0.3230 1
Sb2 Sb 0.2693 0.0000 0.7525 1
```



A relaxed structure of CoSiSb. Source: the Alexandria database, functional PBE.

Geometry as CIF:
```
data_CoSiSb
_space_group_name_H-M_alt 'I 4 m m'
_space_group_IT_number 107
_space_group_name_Hall 'I 4 -2'
_cell_length_a 2.9469
_cell_length_b 2.9469
_cell_length_c 11.6017
_cell_angle_alpha 90.00
_cell_angle_beta 90.00
_cell_angle_gamma 90.00
loop_
_atom_site_label
_atom_site_type_symbol
_atom_site_fract_x
_atom_site_fract_y
_atom_site_fract_z
_atom_site_occupancy
Co1 Co 0.0000 0.0000 0.0000 1
Si1 Si 0.0000 0.0000 0.3982 1
Sb1 Sb 0.0000 0.0000 0.6649 1
```



A relaxed structure of CoSiSb2. Source: the Alexandria database, functional PBE.

Geometry as CIF:
```
data_CoSiSb2
_space_group_name_H-M_alt 'I -4 2 d'
_space_group_IT_number 122
_space_group_name_Hall 'I -4 2bw'
_cell_length_a 5.8762
_cell_length_b 5.8762
_cell_length_c 11.7346
_cell_angle_alpha 90.00
_cell_angle_beta 90.00
_cell_angle_gamma 90.00
loop_
_atom_site_label
_atom_site_type_symbol
_atom_site_fract_x
_atom_site_fract_y
_atom_site_fract_z
_atom_site_occupancy
Co1 Co 0.0000 0.0000 0.0000 1
Si1 Si 0.0000 0.0000 0.5000 1
Sb1 Sb 0.2205 0.2500 0.1250 1
```



| no. | DOS(E_F) (states/eV per cell) | DFT total energy (eV/cell) | raw formation energy (meV per atom) |
| --- | --- | --- | --- |
| 1 | 3.892 | -23.6 | 48 |
| 2 | 5.730 | -60.0 | 191 |
| 3 | 16.369 | -91.9 | 1006 |
| 4 | 1.597 | -20.4 | 101 |
| 5 | 2.461 | -16.2 | 148 |
| 6 | 14.981 | -93.3 | 111 |
| 7 | 2.167 | -19.3 | 373 |
| 8 | 16.362 | -92.0 | 191 |
| 9 | 3.237 | -23.8 | -15 |
| 10 | 5.551 | -60.6 | -227 |
| 11 | 4.551 | -41.4 | 19 |
| 12 | 4.172 | -32.5 | 137 |
| 13 | 14.956 | -78.6 | 281 |